{"formula": "LaSmN", "functional": "PBE", "state": "optimized geometry", "e_form_raw_ev_per_atom": -0.79, "m_tot_mub_per_cell": 0.00, "density_g_cm3": 6.109, "e_above_lowest_polymorph_ev_per_atom": 0.102, "lattice": [[-1.779, -1.103, -3.184], [5.245, -1.477, -4.699], [-1.146, -6.407, 0.580]], "species": ["La", "La", "Sm", "Sm", "N", "N"], "frac_coords": [[0.089, 0.565, 0.258], [0.911, 0.435, 0.742], [0.800, 0.097, 0.302], [0.200, 0.903, 0.698], [0.161, 0.184, 0.495], [0.839, 0.816, 0.505]]}